(1)
The following is a GGA-PBEsol calculation of Cd2POs after structural relaxation, from the Alexandria database.

Lattice parameters (Å, degrees): 3.2992 4.2239 4.6926 90.00 90.00 90.00
Element x y z (fractional)
Cd 0.5000 0.5000 0.0000
Cd 0.0000 0.0000 0.0000
P 0.0000 0.5000 0.5000
Os 0.5000 0.0000 0.5000

## Properties
The density comes out at 11.33 g/cm³. Its density of states at the Fermi level is 2.98 states/eV per cell. The energy of formation comes out at 0.64 eV/atom.

---

(2)
The following is a GGA-PBEsol calculation of Ca2RhSe after structural relaxation, from the Alexandria database.

Lattice parameters (Å, degrees): 3.5831 4.8084 4.8084 90.00 90.00 90.00
Element x y z (fractional)
Rh 0.5000 0.5000 0.5000
Ca 0.0000 0.0000 0.5000
Ca 0.0000 0.5000 0.0000
Se 0.5000 0.0000 0.0000

## Properties
The formation energy (no corrections) is -0.820 eV per atom. The density comes out at 5.25 g/cm³. Its density of states at the Fermi level is 2.20 states/eV per cell.

---

(3)
The following is a GGA-PBEsol calculation of Sr2EuBiO6 after structural relaxation, from the Alexandria database.

Lattice parameters (Å, degrees): 6.0660 6.0660 6.0660 60.00 60.00 60.00
Site moments in Bohr magnetons follow the coordinates.
Element x y z (fractional)
O 0.7566 0.2434 0.2434  -0.03
O 0.7566 0.2434 0.7566  -0.03
O 0.2434 0.2434 0.7566  -0.03
O 0.2434 0.7566 0.7566  -0.03
O 0.7566 0.7566 0.2434  -0.03
O 0.2434 0.7566 0.2434  -0.03
Sr 0.7500 0.7500 0.7500  0.00
Sr 0.2500 0.2500 0.2500  0.00
Eu 0.5000 0.5000 0.5000  6.12
Bi 0.0000 0.0000 0.0000  0.00

## Properties
The formation energy (no corrections) is -2.155 eV per atom. The density comes out at 6.65 g/cm³. Its density of states at the Fermi level is 5.01 states/eV per cell.

---

(4)
The following is a GGA-PBEsol calculation of CaBeCl2 after structural relaxation, from the Alexandria database.

Lattice parameters (Å, degrees): 3.4309 5.8487 5.8487 70.66 72.94 72.94
Element x y z (fractional)
Cl 0.9640 0.0360 0.0360
Cl 0.8256 0.6744 0.6744
Ca 0.2394 0.2606 0.2606
Be 0.4709 0.5291 0.5291

## Properties
The formation energy (no corrections) is -0.856 eV per atom. The density comes out at 1.93 g/cm³.